4
Lattice="1.507 0.870 5.862 -1.507 0.870 5.862 0.000 -1.741 5.862" Properties=species:S:1:pos:R:3 comment="TiSN2 | the Alexandria database | PBE | relaxed" space_group=R-3m formation_energy_uncorrected_ev_per_atom=-0.233 dft_energy_ev_per_cell=-29.6 pbc="T T T"
Ti 0.000 0.000 0.000
S 0.000 0.000 8.794
N 0.000 0.000 6.980
N 0.000 0.000 10.608